# HfPbSe2N

HfPbSe2N after structural relaxation (PBE, the Alexandria database).

a b c (Å): 5.3521 5.3521 4.0945
angles (deg): 90.00 90.00 90.00
Last column: nearest neighbours and their distance in Å.
Space group P4/mmm (No. 123)
Symmetry-distinct sites (fractional):
Hf: 0.0000 0.0000 0.0000  2 N 2.05
Pb: 0.5000 0.5000 0.5000  8 Se 3.37
Se: 0.0000 0.5000 0.0000  2 Hf 2.68
N: 0.0000 0.0000 0.5000  2 Hf 2.05

Calculated values
DOS(E_F) = 0.47 states/eV/atom
energy relative to the elements, uncorrected = -0.45 eV per atom
energy relative to the lowest polymorph listed for this composition = 0 meV per atom
calculated volume = 23.457 A^3/atom
crystal system = tetragonal

***

# NaAc2As

NaAc2As after structural relaxation (PBE, the Alexandria database).

a b c (Å): 3.9967 3.9967 8.5845
angles (deg): 90.00 90.00 90.00
Last column: nearest neighbours and their distance in Å.
Space group P4/mmm (No. 123)
Symmetry-distinct sites (fractional):
Na: 0.0000 0.0000 0.0000  8 Ac 3.79, 4 Na 4.00
Ac: 0.5000 0.5000 0.2946  4 As 3.33, 1 Ac 3.53
As: 0.0000 0.0000 0.5000  8 Ac 3.33

Calculated values
DOS(E_F) = 1.02 states/eV/atom
energy relative to the lowest polymorph listed for this composition = 40 meV per atom
formation enthalpy at 0 K = -43.4 kJ per mole of atoms
calculated volume = 34.281 A^3/atom
crystal system = tetragonal

***

> calculated volume of number 2 (NaAc2As)?

34.281 A^3/atom

***

> Which of these has the highest calculated volume?

NaAc2As

***

> Which of these has the lowest energy relative to the lowest polymorph listed for this composition?

HfPbSe2N